{
  "formula": "GaCu3Rh",
  "functional": "GGA-PBE",
  "state": "relaxed",
  "e_form_kcal_per_mol_atoms": 18.8,
  "lattice_angstrom": [[4.357, 0.000, 0.000], [0.000, 4.357, 0.000], [0.000, 0.000, 4.357]],
  "species": ["Ga", "Cu", "Cu", "Cu", "Rh"],
  "frac_coords": [[0.000, 0.000, 0.000], [0.000, 0.000, 0.500], [0.000, 0.500, 0.000], [0.500, 0.000, 0.000], [0.500, 0.500, 0.500]]
}

---

{
  "formula": "Ga4CuRh",
  "functional": "GGA-PBE",
  "state": "relaxed",
  "e_form_kcal_per_mol_atoms": -5.2,
  "lattice_angstrom": [[0.000, 5.769, 5.769], [5.769, 0.000, 5.769], [5.769, 5.769, 0.000]],
  "species": ["Ga", "Ga", "Ga", "Ga", "Ga", "Ga", "Ga", "Ga", "Ga", "Ga", "Ga", "Ga", "Ga", "Ga", "Ga", "Ga", "Cu", "Cu", "Cu", "Cu", "Rh", "Rh", "Rh", "Rh"],
  "frac_coords": [[0.189, 0.189, 0.811], [0.189, 0.811, 0.189], [0.189, 0.811, 0.811], [0.379, 0.379, 0.379], [0.379, 0.379, 0.862], [0.379, 0.862, 0.379], [0.548, 0.548, 0.952], [0.548, 0.952, 0.548], [0.548, 0.952, 0.952], [0.811, 0.189, 0.189], [0.811, 0.189, 0.811], [0.811, 0.811, 0.189], [0.862, 0.379, 0.379], [0.952, 0.548, 0.548], [0.952, 0.548, 0.952], [0.952, 0.952, 0.548], [0.167, 0.167, 0.167], [0.167, 0.167, 0.500], [0.167, 0.500, 0.167], [0.500, 0.167, 0.167], [0.194, 0.602, 0.602], [0.602, 0.194, 0.602], [0.602, 0.602, 0.194], [0.602, 0.602, 0.602]]
}

---

{
  "formula": "Ga2CuRh",
  "functional": "GGA-PBE",
  "state": "relaxed",
  "e_form_kcal_per_mol_atoms": -7.9,
  "lattice_angstrom": [[3.089, 0.000, 0.000], [0.000, 3.089, 0.000], [0.000, 0.000, 5.883]],
  "species": ["Ga", "Ga", "Cu", "Rh"],
  "frac_coords": [[0.000, 0.000, 0.247], [0.000, 0.000, 0.753], [0.500, 0.500, 0.000], [0.500, 0.500, 0.500]]
}

---

{
  "formula": "Ga6Cu3Rh",
  "functional": "GGA-PBE",
  "state": "relaxed",
  "e_form_kcal_per_mol_atoms": -2.4,
  "lattice_angstrom": [[6.887, 0.000, 0.000], [0.000, 6.386, 0.000], [-4.986, 0.000, 7.285]],
  "species": ["Ga", "Ga", "Ga", "Ga", "Ga", "Ga", "Ga", "Ga", "Ga", "Ga", "Ga", "Ga", "Cu", "Cu", "Cu", "Cu", "Cu", "Cu", "Rh", "Rh"],
  "frac_coords": [[0.045, 0.067, 0.303], [0.045, 0.433, 0.803], [0.255, 0.684, 0.096], [0.255, 0.816, 0.596], [0.390, 0.102, 0.058], [0.390, 0.398, 0.558], [0.610, 0.602, 0.442], [0.610, 0.898, 0.942], [0.745, 0.184, 0.404], [0.745, 0.316, 0.904], [0.955, 0.567, 0.197], [0.955, 0.933, 0.697], [0.290, 0.186, 0.743], [0.290, 0.314, 0.243], [0.500, 0.000, 0.500], [0.500, 0.500, 0.000], [0.710, 0.686, 0.757], [0.710, 0.814, 0.257], [0.000, 0.000, 0.000], [0.000, 0.500, 0.500]]
}